Record 1
Computed, not measured: a relaxed Dy4Tl3 crystal at the PBE level of DFT.

## Properties
Formation energy, eV/f.u.: -2.0
M_tot, Bohr magnetons per cell: 0.0

Cell: 8.5203 8.5203 8.5203 Å, 113.42 113.42 113.42°
Fractional coordinates of all 14 atoms:
Dy1 0.0000 0.0000 0.0000
Dy2 0.0745 0.6220 0.7683
Dy3 0.2317 0.9255 0.3780
Dy4 0.3780 0.2317 0.9255
Dy5 0.5000 0.5000 0.5000
Dy6 0.6221 0.7683 0.0745
Dy7 0.7683 0.0745 0.6221
Dy8 0.9255 0.3780 0.2317
Tl1 0.1218 0.2493 0.5197
Tl2 0.2493 0.5197 0.1218
Tl3 0.4803 0.8782 0.7507
Tl4 0.5197 0.1218 0.2493
Tl5 0.7507 0.4803 0.8782
Tl6 0.8782 0.7507 0.4803



Record 2
Computed, not measured: a relaxed NbMoPb2 crystal at the PBE level of DFT.

## Properties
Formation energy, eV/f.u.: 2.7
M_tot, Bohr magnetons per cell: 0.0
Energy above the most stable polymorph in this dataset, eV/atom: 0.000

Cell: 4.8771 4.8771 4.8771 Å, 60.00 60.00 60.00°
Fractional coordinates of all 4 atoms:
Nb1 0.0000 0.0000 0.0000
Mo1 0.5000 0.5000 0.5000
Pb1 0.2500 0.2500 0.2500
Pb2 0.7500 0.7500 0.7500



Record 3
Computed, not measured: a relaxed Dy2ScNbO7 crystal at the PBE level of DFT.

## Properties
M_tot, Bohr magnetons per cell: 0.0
Formation energy (no corrections), eV/atom: -3.263

Cell: 7.3751 7.3751 7.3751 Å, 120.71 119.17 90.11°
Fractional coordinates of all 22 atoms:
Dy1 0.0000 0.0000 0.0000
Dy2 0.5000 0.0000 0.0000
Dy3 0.5000 0.0000 0.5000
Dy4 0.5000 0.5000 0.5000
Sc1 0.0000 0.0000 0.5000
Sc2 0.0000 0.5000 0.0000
Nb1 0.0000 0.5000 0.5000
Nb2 0.5000 0.5000 0.0000
O1 0.0964 0.4215 0.2663
O2 0.0964 0.8300 0.6749
O3 0.1002 0.8502 0.2500
O4 0.3224 0.5724 0.7500
O5 0.3448 0.1700 0.7663
O6 0.3448 0.5785 0.1749
O7 0.3789 0.1289 0.2500
O8 0.6211 0.8711 0.7500
O9 0.6552 0.4215 0.8251
O10 0.6552 0.8300 0.2337
O11 0.6776 0.4276 0.2500
O12 0.8998 0.1498 0.7500
O13 0.9036 0.1700 0.3251
O14 0.9036 0.5785 0.7337



Record 4
Computed, not measured: a relaxed LaNdHg2 crystal at the PBE level of DFT.

## Properties
Formation energy, eV/f.u.: -1.9
M_tot, Bohr magnetons per cell: 0.8
Energy above the most stable polymorph in this dataset, eV/atom: 0.002

Cell: 5.4672 5.4672 3.8940 Å, 90.00 90.00 90.00°
Fractional coordinates of all 4 atoms:
La1 0.0000 0.0000 0.0000
Nd1 0.5000 0.5000 0.0000
Hg1 0.0000 0.5000 0.5000
Hg2 0.5000 0.0000 0.5000



Record 5
Computed, not measured: a relaxed SiTc2I crystal at the PBE level of DFT.

## Properties
M_tot, Bohr magnetons per cell: 0.0
Formation energy (no corrections), eV/atom: 0.519
Energy above the most stable polymorph in this dataset, eV/atom: 0.000

Cell: 4.4656 4.4656 4.4656 Å, 60.00 60.00 60.00°
Fractional coordinates of all 4 atoms:
Si1 0.0000 0.0000 0.0000
Tc1 0.2500 0.2500 0.2500
Tc2 0.7500 0.7500 0.7500
I1 0.5000 0.5000 0.5000



Record 6
Computed, not measured: a relaxed Li3YCu8 crystal at the PBE level of DFT.

## Properties
Formation energy, eV/f.u.: -1.4
M_tot, Bohr magnetons per cell: 0.0
Energy above the most stable polymorph in this dataset, eV/atom: 0.000

Cell: 4.9889 4.9889 8.1517 Å, 90.00 90.00 120.00°
Fractional coordinates of all 12 atoms:
Li1 0.0000 0.0000 0.0000
Li2 0.0000 0.0000 0.3469
Li3 0.3333 0.6667 0.9054
Y1 0.3333 0.6667 0.5069
Cu1 0.0011 0.5006 0.1893
Cu2 0.3287 0.1643 0.6995
Cu3 0.4994 0.5006 0.1893
Cu4 0.4994 0.9989 0.1893
Cu5 0.6667 0.3333 0.4414
Cu6 0.6667 0.3333 0.9426
Cu7 0.8357 0.1643 0.6995
Cu8 0.8357 0.6713 0.6995



Record 7
Computed, not measured: a relaxed Cu2IrBr crystal at the PBE level of DFT.

## Properties
M_tot, Bohr magnetons per cell: 0.0
Formation energy (no corrections), eV/atom: 0.398
Energy above the most stable polymorph in this dataset, eV/atom: 0.000

Cell: 2.9408 3.0598 7.2799 Å, 90.00 90.00 90.00°
Fractional coordinates of all 4 atoms:
Cu1 0.0000 0.0000 0.2088
Cu2 0.0000 0.0000 0.7912
Ir1 0.5000 0.5000 0.0000
Br1 0.0000 0.5000 0.5000



Record 8
Computed, not measured: a relaxed BSb3Br crystal at the PBE level of DFT.

## Properties
M_tot, Bohr magnetons per cell: 0.0
Formation energy (no corrections), eV/atom: 0.713
Energy above the most stable polymorph in this dataset, eV/atom: 0.000

Cell: 4.9610 4.9610 4.9610 Å, 90.00 90.00 90.00°
Fractional coordinates of all 5 atoms:
B1 0.0000 0.0000 0.0000
Sb1 0.0000 0.0000 0.5000
Sb2 0.0000 0.5000 0.0000
Sb3 0.5000 0.0000 0.0000
Br1 0.5000 0.5000 0.5000



Record 9
Computed, not measured: a relaxed SmCoCu2 crystal at the PBE level of DFT.

## Properties
Formation energy, eV/f.u.: -0.1
M_tot, Bohr magnetons per cell: 0.9

Cell: 5.2728 5.2728 5.2728 Å, 46.17 46.17 46.17°
Fractional coordinates of all 4 atoms:
Sm1 0.0000 0.0000 0.0000
Co1 0.5000 0.5000 0.5000
Cu1 0.2010 0.2010 0.2010
Cu2 0.7990 0.7990 0.7990



Record 10
Computed, not measured: a relaxed NbTeS crystal at the PBE level of DFT.

## Properties
M_tot, Bohr magnetons per cell: 0.0
Formation energy (no corrections), eV/atom: -0.434
Energy above the most stable polymorph in this dataset, eV/atom: 0.263

Cell: 7.8144 3.4403 9.1254 Å, 90.00 90.00 90.00°
Fractional coordinates of all 12 atoms:
Nb1 0.1628 0.2500 0.1557
Nb2 0.3372 0.7500 0.6557
Nb3 0.6628 0.2500 0.3443
Nb4 0.8372 0.7500 0.8443
Te1 0.0382 0.2500 0.6563
Te2 0.4618 0.7500 0.1563
Te3 0.5382 0.2500 0.8437
Te4 0.9618 0.7500 0.3437
S1 0.1509 0.7500 0.9478
S2 0.3491 0.2500 0.4478
S3 0.6509 0.7500 0.5522
S4 0.8491 0.2500 0.0522



Record 11
Computed, not measured: a relaxed ZnCr2Mo2Ru5 crystal at the PBE level of DFT.

## Properties
Formation energy, eV/f.u.: 1.9
M_tot, Bohr magnetons per cell: 0.0

Cell: 8.6082 8.6082 3.8939 Å, 90.00 90.00 90.00°
Fractional coordinates of all 20 atoms:
Zn1 0.0000 0.0000 0.0000
Zn2 0.5000 0.5000 0.0000
Cr1 0.1390 0.3610 0.0000
Cr2 0.3610 0.8610 0.0000
Cr3 0.6390 0.1390 0.0000
Cr4 0.8610 0.6390 0.0000
Mo1 0.1560 0.6560 0.0000
Mo2 0.3440 0.1560 0.0000
Mo3 0.6560 0.8440 0.0000
Mo4 0.8440 0.3440 0.0000
Ru1 0.0000 0.5000 0.5000
Ru2 0.0777 0.1971 0.5000
Ru3 0.1971 0.9223 0.5000
Ru4 0.3029 0.4223 0.5000
Ru5 0.4223 0.6971 0.5000
Ru6 0.5000 0.0000 0.5000
Ru7 0.5777 0.3029 0.5000
Ru8 0.6971 0.5777 0.5000
Ru9 0.8029 0.0777 0.5000
Ru10 0.9223 0.8029 0.5000



Record 12
Computed, not measured: a relaxed NbI crystal at the PBE level of DFT.

## Properties
M_tot, Bohr magnetons per cell: 0.0
Formation energy (no corrections), eV/atom: 0.331

Cell: 3.5905 7.1898 7.1898 Å, 125.24 90.00 90.00°
Fractional coordinates of all 6 atoms:
Nb1 0.0000 0.0000 0.0000
Nb2 0.5000 0.2169 0.8735
Nb3 0.5000 0.8735 0.2169
I1 0.0000 0.5384 0.8735
I2 0.0000 0.8735 0.5384
I3 0.5000 0.3280 0.3280



Record 13
Computed, not measured: a relaxed TmIn2Rh4 crystal at the PBE level of DFT.

## Properties
Formation energy, eV/f.u.: -2.2
M_tot, Bohr magnetons per cell: 0.0

Cell: 5.5290 5.5290 5.5290 Å, 109.03 109.03 110.35°
Fractional coordinates of all 7 atoms:
Tm1 0.0000 0.0000 0.0000
In1 0.0000 0.5000 0.5000
In2 0.5000 0.0000 0.5000
Rh1 0.0000 0.0000 0.5000
Rh2 0.0000 0.5000 0.0000
Rh3 0.5000 0.0000 0.0000
Rh4 0.5000 0.5000 0.5000



Record 14
Computed, not measured: a relaxed LaCo2Pb2 crystal at the PBE level of DFT.

## Properties
Formation energy, eV/f.u.: 0.1
M_tot, Bohr magnetons per cell: 1.8
Energy above the most stable polymorph in this dataset, eV/atom: 0.017

Cell: 6.3135 6.3135 6.3135 Å, 137.75 137.75 61.28°
Fractional coordinates of all 5 atoms:
La1 0.0000 0.0000 0.0000
Co1 0.2500 0.7500 0.5000
Co2 0.7500 0.2500 0.5000
Pb1 0.3608 0.3608 0.0000
Pb2 0.6392 0.6392 0.0000



Record 15
Computed, not measured: a relaxed InBr2Cl crystal at the PBE level of DFT.

## Properties
M_tot, Bohr magnetons per cell: 0.0
Formation energy (no corrections), eV/atom: -0.376
Energy above the most stable polymorph in this dataset, eV/atom: 0.534

Cell: 7.2664 5.9743 5.5863 Å, 77.81 53.48 48.72°
Fractional coordinates of all 4 atoms:
In1 0.0000 0.0000 0.0000
Br1 0.0000 0.5000 0.5000
Br2 0.5000 0.0000 0.0000
Cl1 0.5000 0.5000 0.5000



Record 16
Computed, not measured: a relaxed ZnSbOs2 crystal at the PBE level of DFT.

## Properties
M_tot, Bohr magnetons per cell: 0.7
Formation energy (no corrections), eV/atom: 0.592
Energy above the most stable polymorph in this dataset, eV/atom: 0.251

Cell: 3.2969 3.2969 5.9807 Å, 90.00 90.00 90.00°
Fractional coordinates of all 4 atoms:
Zn1 0.0000 0.0000 0.0000
Sb1 0.5000 0.5000 0.7034
Os1 0.0000 0.0000 0.4704
Os2 0.5000 0.5000 0.1780



Record 17
Computed, not measured: a relaxed K4NbO5 crystal at the PBE level of DFT.

## Properties
M_tot, Bohr magnetons per cell: 1.0
Formation energy (no corrections), eV/atom: -1.855
Energy above the most stable polymorph in this dataset, eV/atom: 0.000

Cell: 6.4400 6.4400 6.4400 Å, 101.77 101.77 126.31°
Fractional coordinates of all 10 atoms:
K1 0.0933 0.2962 0.3895
K2 0.2962 0.9067 0.2029
K3 0.7038 0.0933 0.7971
K4 0.9067 0.7038 0.6105
Nb1 0.5444 0.5444 0.0000
O1 0.2351 0.5339 0.8440
O2 0.3910 0.2351 0.7012
O3 0.5339 0.6899 0.2988
O4 0.6899 0.3910 0.1560
O5 0.8656 0.8656 0.0000



Record 18
Computed, not measured: a relaxed PmNdZnNi crystal at the PBE level of DFT.

## Properties
Formation energy, eV/f.u.: -1.1
M_tot, Bohr magnetons per cell: 0.0
Energy above the most stable polymorph in this dataset, eV/atom: 0.000

Cell: 4.4823 5.7994 5.7994 Å, 39.21 90.00 90.00°
Fractional coordinates of all 4 atoms:
Pm1 0.0000 0.0000 0.0000
Nd1 0.5000 0.2792 0.2792
Zn1 0.0000 0.7082 0.7082
Ni1 0.5000 0.5814 0.5814



Record 19
Computed, not measured: a relaxed PuAl2Tl crystal at the PBE level of DFT.

## Properties
Formation energy, eV/f.u.: -0.3
M_tot, Bohr magnetons per cell: 5.6

Cell: 4.5086 4.5086 4.3352 Å, 90.00 90.00 90.00°
Fractional coordinates of all 4 atoms:
Pu1 0.0000 0.0000 0.0000
Al1 0.0000 0.5000 0.5000
Al2 0.5000 0.0000 0.5000
Tl1 0.5000 0.5000 0.0000



Record 20
Computed, not measured: a relaxed Y3TlGa crystal at the PBE level of DFT.

## Properties
Formation energy, eV/f.u.: -0.4
M_tot, Bohr magnetons per cell: 0.0
Energy above the most stable polymorph in this dataset, eV/atom: 0.254

Cell: 5.4431 5.4431 5.4431 Å, 90.00 90.00 90.00°
Fractional coordinates of all 5 atoms:
Y1 0.0000 0.0000 0.5000
Y2 0.0000 0.5000 0.0000
Y3 0.5000 0.0000 0.0000
Tl1 0.5000 0.5000 0.5000
Ga1 0.0000 0.0000 0.0000



Record 21
Computed, not measured: a relaxed Na2CaPbF6 crystal at the PBE level of DFT.

## Properties
M_tot, Bohr magnetons per cell: 0.0
Formation energy (no corrections), eV/atom: -2.967

Cell: 6.2597 6.2597 6.2597 Å, 57.24 57.24 57.24°
Fractional coordinates of all 10 atoms:
Na1 0.0000 0.0000 0.0000
Na2 0.4972 0.4972 0.4972
Ca1 0.7077 0.7077 0.7077
Pb1 0.2143 0.2143 0.2143
F1 0.0953 0.8068 0.4111
F2 0.3148 0.6313 0.8771
F3 0.4111 0.0953 0.8068
F4 0.6313 0.8771 0.3148
F5 0.8068 0.4111 0.0953
F6 0.8771 0.3148 0.6313



Record 22
Computed, not measured: a relaxed Rb2FeHI6 crystal at the PBE level of DFT.

## Properties
VASP energy, eV per atom: -2.73
M_tot, Bohr magnetons per cell: 4.3

Cell: 8.3054 8.3054 8.3054 Å, 125.43 125.43 80.82°
Fractional coordinates of all 10 atoms:
Rb1 0.2500 0.7500 0.5000
Rb2 0.7500 0.2500 0.5000
Fe1 0.0000 0.0000 0.0000
H1 0.5000 0.5000 0.0000
I1 0.2184 0.2184 0.0000
I2 0.2589 0.2589 0.5179
I3 0.2589 0.7411 0.0000
I4 0.7411 0.2589 0.0000
I5 0.7411 0.7411 0.4821
I6 0.7816 0.7816 0.0000



Record 23
Computed, not measured: a relaxed Cd2IrPbO6 crystal at the PBE level of DFT.

## Properties
M_tot, Bohr magnetons per cell: 1.1
Formation energy (no corrections), eV/atom: -0.873

Cell: 5.9191 5.9191 5.9191 Å, 57.94 57.94 57.94°
Fractional coordinates of all 10 atoms:
Cd1 0.0000 0.0000 0.0000
Cd2 0.4908 0.4908 0.4908
Ir1 0.7083 0.7083 0.7083
Pb1 0.2243 0.2243 0.2243
O1 0.0538 0.4629 0.8087
O2 0.3540 0.8920 0.6175
O3 0.4629 0.8087 0.0538
O4 0.6175 0.3540 0.8920
O5 0.8087 0.0538 0.4629
O6 0.8920 0.6175 0.3540



Record 24
Computed, not measured: a relaxed BaNa2Cd2Pb2 crystal at the PBE level of DFT.

## Properties
Formation energy, eV/f.u.: -2.0
M_tot, Bohr magnetons per cell: 0.0

Cell: 10.1548 10.1548 10.1548 Å, 29.24 29.24 29.24°
Fractional coordinates of all 7 atoms:
Ba1 0.0000 0.0000 0.0000
Na1 0.1406 0.1406 0.1406
Na2 0.8594 0.8594 0.8594
Cd1 0.4250 0.4250 0.4250
Cd2 0.5750 0.5750 0.5750
Pb1 0.2575 0.2575 0.2575
Pb2 0.7425 0.7425 0.7425



Record 25
Computed, not measured: a relaxed ScHgRu crystal at the PBE level of DFT.

## Properties
Formation energy, eV/f.u.: -0.7
M_tot, Bohr magnetons per cell: 0.0
Energy above the most stable polymorph in this dataset, eV/atom: 0.000

Cell: 5.3878 5.3878 5.3878 Å, 143.48 143.48 52.61°
Fractional coordinates of all 3 atoms:
Sc1 0.0000 0.0000 0.0000
Hg1 0.6904 0.6904 0.0000
Ru1 0.3641 0.3641 0.0000